(1)
# Y2ZnCo5B2, relaxed, DFT PBE
data_Y2ZnCo5B2
_space_group_name_H-M_alt 'P 1'
_space_group_IT_number 1
_cell_length_a 9.066
_cell_length_b 9.066
_cell_length_c 3.047
_cell_angle_alpha 90.00
_cell_angle_beta 90.00
_cell_angle_gamma 90.00
loop_
_space_group_symop_operation_xyz
'x,y,z'
loop_
_atom_site_label
_atom_site_type_symbol
_atom_site_fract_x
_atom_site_fract_y
_atom_site_fract_z
_atom_site_occupancy
Y1 Y 0.178 0.322 0.000 1
Y2 Y 0.322 0.822 0.000 1
Y3 Y 0.678 0.178 0.000 1
Y4 Y 0.822 0.678 0.000 1
Zn1 Zn 0.000 0.000 0.000 1
Zn2 Zn 0.500 0.500 0.000 1
Co1 Co 0.000 0.500 0.500 1
Co2 Co 0.068 0.770 0.500 1
Co3 Co 0.230 0.068 0.500 1
Co4 Co 0.270 0.568 0.500 1
Co5 Co 0.432 0.270 0.500 1
Co6 Co 0.500 0.000 0.500 1
Co7 Co 0.568 0.730 0.500 1
Co8 Co 0.730 0.432 0.500 1
Co9 Co 0.770 0.932 0.500 1
Co10 Co 0.932 0.230 0.500 1
B1 B 0.118 0.618 0.000 1
B2 B 0.382 0.118 0.000 1
B3 B 0.618 0.882 0.000 1
B4 B 0.882 0.382 0.000 1
# - E (Ha/atom) = -0.242

(2)
# Y2ZnCoB, relaxed, DFT PBE
data_Y2ZnCoB
_space_group_name_H-M_alt 'P 1'
_space_group_IT_number 1
_cell_length_a 5.062
_cell_length_b 5.062
_cell_length_c 3.753
_cell_angle_alpha 90.00
_cell_angle_beta 90.00
_cell_angle_gamma 90.00
loop_
_space_group_symop_operation_xyz
'x,y,z'
loop_
_atom_site_label
_atom_site_type_symbol
_atom_site_fract_x
_atom_site_fract_y
_atom_site_fract_z
_atom_site_occupancy
Y1 Y 0.000 0.500 0.000 1
Y2 Y 0.500 0.000 0.000 1
Zn1 Zn 0.000 0.000 0.500 1
Co1 Co 0.500 0.500 0.500 1
B1 B 0.500 0.500 0.000 1
# - E (Ha/atom) = -0.215

(3)
# YbCo3B2, relaxed, DFT PBE
data_YbCo3B2
_space_group_name_H-M_alt 'P 1'
_space_group_IT_number 1
_cell_length_a 5.072
_cell_length_b 5.072
_cell_length_c 2.908
_cell_angle_alpha 90.00
_cell_angle_beta 90.00
_cell_angle_gamma 120.00
loop_
_space_group_symop_operation_xyz
'x,y,z'
loop_
_atom_site_label
_atom_site_type_symbol
_atom_site_fract_x
_atom_site_fract_y
_atom_site_fract_z
_atom_site_occupancy
Yb1 Yb 0.000 0.000 0.000 1
Co1 Co 0.000 0.500 0.500 1
Co2 Co 0.500 0.000 0.500 1
Co3 Co 0.500 0.500 0.500 1
B1 B 0.333 0.667 0.000 1
B2 B 0.667 0.333 0.000 1
# - E (Ha/atom) = -0.235

(4)
# ZnCo2B2, relaxed, DFT PBE
data_ZnCo2B2
_space_group_name_H-M_alt 'P 1'
_space_group_IT_number 1
_cell_length_a 5.849
_cell_length_b 5.849
_cell_length_c 2.560
_cell_angle_alpha 90.00
_cell_angle_beta 90.00
_cell_angle_gamma 90.00
loop_
_space_group_symop_operation_xyz
'x,y,z'
loop_
_atom_site_label
_atom_site_type_symbol
_atom_site_fract_x
_atom_site_fract_y
_atom_site_fract_z
_atom_site_occupancy
Zn1 Zn 0.000 0.000 0.000 1
Zn2 Zn 0.500 0.500 0.000 1
Co1 Co 0.168 0.332 0.500 1
Co2 Co 0.332 0.832 0.500 1
Co3 Co 0.668 0.168 0.500 1
Co4 Co 0.832 0.668 0.500 1
B1 B 0.115 0.615 0.000 1
B2 B 0.385 0.115 0.000 1
B3 B 0.615 0.885 0.000 1
B4 B 0.885 0.385 0.000 1
# - E (Ha/atom) = -0.217

Q: Which energy of formation from the pure elements values were calculated for the entries above? A: -0.29, -0.26, -0.37, -0.15, in eV per atom.